Entry 1:
## TaRhSN2 (meta-GGA SCAN)

Data for a PBEsol-optimized structure of TaRhSN2.

Properties
Total energy, Ry per atom: -1.859
Magnetic moment, μB/cell: 0.49
DOS at the Fermi energy, states/eV/cell: 3.1

Lattice parameters (Å, degrees): 3.9049 3.9049 4.9636 90.00 90.00 90.00
Element x y z (fractional)
Ta 0.0000 0.0000 0.0000
N 0.5000 0.0000 0.0000
N 0.0000 0.5000 0.0000
Rh 0.5000 0.5000 0.5000
S 0.0000 0.0000 0.5000


Entry 2:
## Sr2CdHg (meta-GGA SCAN)

Data for a PBEsol-optimized structure of Sr2CdHg.

Properties
Formation enthalpy at 0 K, meV per atom: -550
Total energy, Ry per atom: -2.670
Magnetic moment, μB/cell: 0.00
DOS at the Fermi energy, states/eV/cell: 2.2

Lattice parameters (Å, degrees): 3.9410 3.9410 7.8904 90.00 90.00 90.00
Element x y z (fractional)
Hg 0.5000 0.5000 0.5000
Sr 0.0000 0.0000 0.2554
Sr 0.0000 0.0000 0.7446
Cd 0.5000 0.5000 0.0000